# PBE LiSb2PdS, optimized geometry
# * D(E_F): 2.4 states/eV per cell
# * calculated volume: 24.5 Å³/atom
# * electronic total energy: -18.93 eV for the cell shown
# * size of the total moment: 0.00 μB/f.u.
data_LiSb2PdS
_cell_length_a 5.1206
_cell_length_b 5.1206
_cell_length_c 4.6638
_cell_angle_alpha 90.00
_cell_angle_beta 90.00
_cell_angle_gamma 90.00
_symmetry_space_group_name_H-M 'P 4/m m m'
_symmetry_Int_Tables_number 123
_symmetry_space_group_name_Hall '-P 4 2'
loop_
_atom_site_label
_atom_site_type_symbol
_atom_site_fract_x
_atom_site_fract_y
_atom_site_fract_z
_atom_site_occupancy
Li1 Li 0.0000 0.0000 0.0000 1
Sb1 Sb 0.0000 0.5000 0.5000 1
Pd1 Pd 0.0000 0.0000 0.5000 1
S1 S 0.5000 0.5000 0.0000 1